(1)
A plane-wave DFT calculation with GGA-PBE was carried out for a relaxed Tb4Si3Pd crystal.

Values from the calculation:
space group: Pmm2
uncorrected formation energy: -0.808 eV/atom
M_tot: 0.00 Bohr magnetons per cell

```
8
Lattice="-1.030 -1.403 -3.853 -3.228 -1.687 1.477 -5.584 9.094 -1.817" Properties=species:S:1:pos:R:3 pbc="T T T"
Tb -4.145 1.739 -1.844
Tb -6.401 6.952 -0.819
Tb -0.767 1.248 -0.249
Tb -4.099 5.136 -3.093
Si -4.821 4.378 -0.305
Si -2.408 3.921 -0.784
Si -5.651 7.662 -3.598
Pd -2.562 -0.840 -1.329
```

---

(2)
A plane-wave DFT calculation with GGA-PBE was carried out for a relaxed TbSiPd crystal.

Values from the calculation:
space group: Imm2
uncorrected formation energy: -0.990 eV/atom
M_tot: 0.00 Bohr magnetons per cell

```
18
Lattice="-2.338 0.996 -3.507 6.303 1.624 -3.741 -1.344 -11.328 0.352" Properties=species:S:1:pos:R:3 pbc="T T T"
Tb 3.401 0.876 -2.018
Tb -0.699 -2.765 -2.994
Tb 3.836 -5.810 -4.208
Tb 4.796 2.034 -5.293
Tb -1.044 -6.238 -3.751
Tb 3.067 -2.624 -2.790
Si -2.786 -8.853 -3.332
Si 1.052 -0.977 -0.979
Si 1.303 -4.302 -4.766
Si -0.722 -4.932 -0.919
Si 3.082 -0.373 -4.835
Si 1.491 -7.832 -3.219
Pd 1.403 -6.876 -5.563
Pd 5.354 -0.766 -3.787
Pd 3.326 -3.053 -5.759
Pd 1.391 -5.115 -2.380
Pd 0.965 -0.406 -3.433
Pd -0.561 -8.872 -2.146
```

---

(3)
A plane-wave DFT calculation with GGA-PBE was carried out for a relaxed Tb2Si3Pd5 crystal.

Values from the calculation:
space group: Cmc2_1
uncorrected formation energy: -0.849 eV/atom
M_tot: 0.00 Bohr magnetons per cell

```
20
Lattice="-1.944 0.865 -3.660 5.293 -2.385 -3.375 -3.977 -11.453 1.855" Properties=species:S:1:pos:R:3 pbc="T T T"
Tb -0.887 -12.220 -2.417
Tb 2.266 -5.636 -2.536
Tb -2.855 -7.355 -2.671
Tb -0.027 -0.624 -2.582
Si 0.568 -7.482 -4.518
Si 0.304 -3.326 -3.396
Si 4.432 -3.334 -3.142
Si -0.662 -5.732 -1.003
Si -3.137 -10.505 -3.265
Si 1.352 -10.676 -3.241
Pd -2.272 -9.736 -1.094
Pd 0.108 -7.987 -1.945
Pd -2.530 -4.178 -2.092
Pd -0.051 -3.328 -0.760
Pd 2.514 -8.500 -3.344
Pd -5.078 -9.523 -2.002
Pd -0.551 -5.641 -3.489
Pd -0.823 -9.535 -4.265
Pd 2.411 -2.532 -1.879
Pd 2.491 -3.619 -4.627
```

---

(4)
A plane-wave DFT calculation with GGA-PBE was carried out for a relaxed TbSiPd3 crystal.

Values from the calculation:
space group: Pm-3m
uncorrected formation energy: -0.612 eV/atom
M_tot: 0.00 Bohr magnetons per cell

```
10
Lattice="-2.572 -5.809 1.387 6.458 0.754 -0.092 -0.518 4.882 4.264" Properties=species:S:1:pos:R:3 pbc="T T T"
Tb 4.455 4.227 3.129
Tb 1.485 1.409 1.043
Si 1.943 -2.528 0.648
Si -1.545 -0.464 2.825
Pd 4.714 1.786 0.997
Pd 3.428 -1.119 1.691
Pd 3.169 1.322 3.823
Pd -0.060 0.945 3.868
Pd 0.199 -1.496 1.736
Pd -1.345 -1.959 4.562
```

---

(5)
A plane-wave DFT calculation with GGA-PBE was carried out for a relaxed TbSi4Pd4 crystal.

Values from the calculation:
space group: P4_2/nmc
uncorrected formation energy: -0.623 eV/atom
M_tot: 0.00 Bohr magnetons per cell

```
18
Lattice="-0.840 -4.463 3.963 -3.706 -2.747 -3.879 6.378 -4.059 -3.219" Properties=species:S:1:pos:R:3 pbc="T T T"
Tb 0.000 0.000 0.000
Tb 0.916 -5.634 -1.568
Si 1.863 -7.759 -3.760
Si 4.073 -6.121 -1.447
Si -1.386 -5.660 0.649
Si -0.885 -2.998 -1.714
Si 1.801 -2.636 0.146
Si 1.462 -4.438 1.746
Si 3.222 -3.572 -3.341
Si 1.726 -4.681 -4.906
Pd 3.570 -5.989 -3.852
Pd 3.121 -8.372 -1.736
Pd -2.503 -4.822 -1.378
Pd -0.523 -3.355 0.694
Pd -0.287 -3.559 -4.069
Pd 1.440 -2.279 -2.262
Pd 3.725 -3.705 -0.935
Pd 3.333 -5.784 0.911
```

---

(6)
A plane-wave DFT calculation with GGA-PBE was carried out for a relaxed Tb2Si3Pd2 crystal.

Values from the calculation:
space group: C2/m
uncorrected formation energy: -0.772 eV/atom
M_tot: 0.00 Bohr magnetons per cell

```
7
Lattice="-2.124 2.763 -2.381 -3.201 -2.267 3.965 3.753 4.744 2.157" Properties=species:S:1:pos:R:3 pbc="T T T"
Tb -3.208 1.814 1.225
Tb 1.636 3.426 2.515
Si -1.062 1.381 -1.190
Si -0.259 3.284 0.301
Si -1.313 1.955 3.440
Pd -1.300 4.301 2.410
Pd -0.271 0.938 1.330
```

---

(7)
A plane-wave DFT calculation with GGA-PBE was carried out for a relaxed TbSi3Pd3 crystal.

Values from the calculation:
space group: Pm-3n
uncorrected formation energy: -0.342 eV/atom
M_tot: 0.00 Bohr magnetons per cell

```
14
Lattice="-3.814 4.560 -2.812 -1.311 -4.141 -4.937 -5.194 -2.303 3.311" Properties=species:S:1:pos:R:3 pbc="T T T"
Si -2.925 -2.187 0.421
Si -3.581 -4.257 -2.047
Si -5.803 0.553 1.077
Si -3.516 1.349 -4.577
Si -3.205 1.704 -0.578
Si -1.609 -0.931 -3.172
Tb -5.160 -0.942 -2.219
Tb 0.000 0.000 0.000
Pd -3.551 -0.011 0.953
Pd -1.954 -2.646 -1.641
Pd -2.890 -0.826 -5.109
Pd -5.457 2.269 -0.453
Pd -4.551 -3.797 0.015
Pd -2.235 1.245 -2.640
```

---

(8)
A plane-wave DFT calculation with GGA-PBE was carried out for a relaxed TbSiPd crystal.

Values from the calculation:
space group: P-6m2
uncorrected formation energy: -0.947 eV/atom
M_tot: 0.00 Bohr magnetons per cell

```
3
Lattice="-1.150 -1.592 -2.973 4.098 -0.248 -1.453 -1.666 -3.243 2.382" Properties=species:S:1:pos:R:3 pbc="T T T"
Si -0.192 -0.265 -0.496
Tb 1.410 -2.308 -2.157
Pd 0.063 -2.510 0.608
```